1.
PBE Nb6Mo2Os, optimized geometry; calculated density = 8.575 Mg/m³; total DFT energy (no corrections) = -9.8847 eV/atom
1.0
6.983 -3.141 0.000
6.983 3.141 0.000
-1.357 0.000 4.148
Nb Mo Os
6 2 1
Direct
0.082 0.585 0.333
0.250 0.750 0.000
0.415 0.918 0.667
0.585 0.082 0.333
0.750 0.250 0.000
0.918 0.415 0.667
0.334 0.334 0.834
0.666 0.666 0.166
0.000 0.000 0.500

=====

2.
PBE Nb4MoOs, optimized geometry; relative energy among the computed polymorphs = 0.000 eV per atom; calculated density = 10.293 Mg/m³
1.0
9.134 0.000 0.000
0.000 3.137 0.000
0.000 0.000 7.406
Nb Mo Os
8 2 2
Direct
0.000 0.000 0.000
0.021 0.500 0.328
0.250 0.500 0.959
0.479 0.500 0.328
0.500 0.000 0.000
0.521 0.500 0.672
0.750 0.500 0.041
0.979 0.500 0.672
0.250 0.000 0.621
0.750 0.000 0.379
0.250 0.000 0.265
0.750 0.000 0.735

=====

3.
PBE Nb4Mo3Os, optimized geometry; calculated density = 10.547 Mg/m³; total DFT energy (no corrections) = -10.7005 eV/atom
1.0
3.213 0.000 0.000
0.000 4.564 0.000
0.000 0.000 9.124
Nb Mo Os
4 3 1
Direct
0.000 0.000 0.000
0.000 0.000 0.500
0.000 0.500 0.249
0.000 0.500 0.751
0.500 0.000 0.247
0.500 0.000 0.753
0.500 0.500 0.500
0.500 0.500 0.000

=====

4.
PBE Nb6MoOs, optimized geometry; relative energy among the computed polymorphs = 0.000 eV per atom; calculated density = 10.162 Mg/m³
1.0
3.256 -4.617 0.000
3.256 4.617 0.000
0.000 0.000 4.585
Nb Mo Os
6 1 1
Direct
0.000 0.500 0.500
0.249 0.751 0.000
0.250 0.250 0.000
0.500 0.000 0.500
0.750 0.750 0.000
0.751 0.249 0.000
0.500 0.500 0.500
0.000 0.000 0.500

=====

5.
PBE NbMoOsPt, optimized geometry; calculated density = 15.155 Mg/m³; total DFT energy (no corrections) = -9.8314 eV/atom
1.0
3.959 0.000 0.000
0.000 3.960 0.000
0.000 0.000 4.013
Nb Mo Os Pt
1 1 1 1
Direct
0.000 0.000 0.000
0.500 0.000 0.500
0.000 0.500 0.500
0.500 0.500 0.000

=====

6.
PBE NbMoOsRu, optimized geometry; calculated density = 12.735 Mg/m³; total DFT energy (no corrections) = -10.1936 eV/atom
1.0
0.000 3.152 3.152
3.152 0.000 3.152
3.152 3.152 0.000
Nb Mo Os Ru
1 1 1 1
Direct
0.000 0.000 0.000
0.750 0.750 0.750
0.500 0.500 0.500
0.250 0.250 0.250

=====

7.
PBE Sc2NbMoOs, optimized geometry; calculated density = 7.163 Mg/m³; total DFT energy (no corrections) = -7.4062 eV/atom
1.0
4.855 0.000 0.000
0.000 4.855 0.000
0.000 0.000 4.613
Sc Nb Mo Os
2 1 1 1
Direct
0.000 0.500 0.000
0.500 0.000 0.000
0.000 0.000 0.000
0.000 0.000 0.500
0.500 0.500 0.500

=====

8.
PBE NbSi2MoOs, optimized geometry; calculated density = 7.087 Mg/m³; uncorrected formation energy = 105 kJ/mol of atoms
1.0
4.489 0.000 0.000
0.000 4.489 0.000
0.000 0.000 5.060
Nb Si Mo Os
1 2 1 1
Direct
0.000 0.000 0.000
0.000 0.500 0.500
0.500 0.000 0.500
0.500 0.500 0.000
0.000 0.000 0.500

=====

9.
PBE NbMoOs2W, optimized geometry; calculated density = 12.523 Mg/m³; total DFT energy (no corrections) = -9.1292 eV/atom
1.0
4.609 0.000 0.000
0.000 4.609 0.000
0.000 0.000 4.702
Nb Mo Os W
1 1 2 1
Direct
0.000 0.000 0.000
0.000 0.000 0.500
0.000 0.500 0.500
0.500 0.000 0.500
0.500 0.500 0.000

=====

10.
PBE YNbMo2Os, optimized geometry; calculated density = 8.397 Mg/m³; total DFT energy (no corrections) = -7.9459 eV/atom
1.0
4.636 0.000 0.000
0.000 4.636 0.000
0.000 0.000 5.188
Y Nb Mo Os
1 1 2 1
Direct
0.000 0.000 0.000
0.000 0.000 0.500
0.000 0.500 0.500
0.500 0.000 0.500
0.500 0.500 0.000

=====

11.
PBE ZrNbMoOs, optimized geometry; calculated density = 11.329 Mg/m³; total DFT energy (no corrections) = -10.4447 eV/atom
1.0
0.000 3.254 3.254
3.254 0.000 3.254
3.254 3.254 0.000
Zr Nb Mo Os
1 1 1 1
Direct
0.000 0.000 0.000
0.500 0.500 0.500
0.250 0.250 0.250
0.750 0.750 0.750

=====

12.
PBE NbMo2P4, optimized geometry; calculated density = 5.022 Mg/m³; total DFT energy (no corrections) = -7.1665 eV/atom
1.0
-2.357 2.357 6.079
2.357 -2.357 6.079
2.357 2.357 -6.079
Nb Mo P
1 2 4
Direct
0.000 0.000 0.000
0.397 0.397 0.000
0.603 0.603 0.000
0.000 0.500 0.500
0.212 0.212 0.000
0.500 0.000 0.500
0.788 0.788 0.000

=====

13.
PBE NbMoP, optimized geometry; calculated density = 7.985 Mg/m³; total DFT energy (no corrections) = -9.3766 eV/atom
1.0
12.006 0.000 0.000
0.000 3.328 0.000
0.000 0.000 6.865
Nb Mo P
6 6 6
Direct
0.042 0.000 0.214
0.250 0.000 0.800
0.458 0.000 0.214
0.542 0.000 0.786
0.750 0.000 0.200
0.958 0.000 0.786
0.120 0.500 0.544
0.250 0.500 0.160
0.380 0.500 0.544
0.620 0.500 0.456
0.750 0.500 0.840
0.880 0.500 0.456
0.100 0.500 0.916
0.250 0.000 0.415
0.400 0.500 0.916
0.600 0.500 0.084
0.750 0.000 0.585
0.900 0.500 0.084

=====

14.
PBE NbMo2P, optimized geometry; relative energy among the computed polymorphs = 0.455 eV per atom; calculated density = 8.643 Mg/m³
1.0
0.000 3.119 3.119
3.119 0.000 3.119
3.119 3.119 0.000
Nb Mo P
1 2 1
Direct
0.000 0.000 0.000
0.250 0.250 0.250
0.750 0.750 0.750
0.500 0.500 0.500

=====

15.
PBE NbMo2P, optimized geometry; relative energy among the computed polymorphs = 0.000 eV per atom; calculated density = 8.541 Mg/m³
1.0
1.661 -4.822 0.000
1.661 4.822 0.000
0.000 0.000 7.664
Nb Mo P
2 4 2
Direct
0.059 0.941 0.750
0.941 0.059 0.250
0.361 0.639 0.549
0.361 0.639 0.951
0.639 0.361 0.049
0.639 0.361 0.451
0.230 0.770 0.250
0.770 0.230 0.750

=====

16.
PBE NbMo2P, optimized geometry; relative energy among the computed polymorphs = 0.710 eV per atom; calculated density = 7.859 Mg/m³
1.0
-1.880 1.880 9.435
1.880 -1.880 9.435
1.880 1.880 -9.435
Nb Mo P
2 4 2
Direct
0.000 0.000 0.000
0.750 0.250 0.500
0.160 0.625 0.035
0.375 0.410 0.535
0.590 0.125 0.965
0.875 0.840 0.465
0.250 0.750 0.500
0.500 0.500 0.000

=====

17.
PBE NbMoP2S, optimized geometry; relative energy among the computed polymorphs = 0.000 eV per atom; calculated density = 4.663 Mg/m³; uncorrected formation energy = 67 kJ/mol of atoms
1.0
4.662 0.000 0.000
0.000 4.662 0.000
0.000 0.000 4.635
Nb Mo P S
1 1 2 1
Direct
0.000 0.000 0.000
0.500 0.500 0.500
0.000 0.500 0.500
0.500 0.000 0.500
0.500 0.500 0.000

=====

18.
PBE NbMoP2S, optimized geometry; relative energy among the computed polymorphs = 0.062 eV per atom; calculated density = 4.276 Mg/m³; uncorrected formation energy = 73 kJ/mol of atoms
1.0
4.829 0.000 0.000
0.000 4.829 0.000
0.000 0.000 4.712
Nb Mo P S
1 1 2 1
Direct
0.000 0.000 0.000
0.500 0.500 0.500
0.000 0.500 0.000
0.500 0.000 0.000
0.000 0.000 0.500

=====

19.
PBE NbSnMo2P, optimized geometry; calculated density = 6.051 Mg/m³; total DFT energy (no corrections) = -6.0611 eV/atom
1.0
5.017 0.000 0.000
0.000 5.017 0.000
0.000 0.000 4.738
Nb Sn Mo P
1 1 2 1
Direct
0.000 0.000 0.000
0.500 0.500 0.500
0.000 0.500 0.500
0.500 0.000 0.500
0.500 0.500 0.000

=====

20.
PBE TiNbMo2P, optimized geometry; calculated density = 6.450 Mg/m³; total DFT energy (no corrections) = -7.8048 eV/atom
1.0
4.616 0.000 0.000
0.000 4.616 0.000
0.000 0.000 4.393
Ti Nb Mo P
1 1 2 1
Direct
0.000 0.000 0.000
0.500 0.500 0.500
0.000 0.500 0.000
0.500 0.000 0.000
0.000 0.000 0.500